#P
KNaHg after structural relaxation. Source: Alexandria via LeMat-Bulk, functional PBE.

Output
- density of states at the Fermi level (states/eV/atom) = 0.512

a = 8.142 Å, b = 8.142 Å, c = 8.142 Å
α = 146.02°, β = 127.89°, γ = 63.68°
Atoms (fractional coordinates):
K1 0.200 0.200 0.000
K2 0.800 0.800 0.000
Na1 0.260 0.500 0.760
Na2 0.740 0.500 0.240
Hg1 0.392 0.892 0.500
Hg2 0.608 0.108 0.500


#Q
KNaHg after structural relaxation. Source: Alexandria via LeMat-Bulk, functional PBE.

Output
- density of states at the Fermi level (states/eV/atom) = 0.642

a = 4.908 Å, b = 5.662 Å, c = 9.843 Å
α = 81.74°, β = 89.77°, γ = 64.41°
Atoms (fractional coordinates):
K1 0.169 0.167 0.152
K2 0.831 0.833 0.848
Na1 0.157 0.185 0.572
Na2 0.843 0.815 0.428
Hg1 0.474 0.550 0.649
Hg2 0.526 0.450 0.351


The winner here is #P, beating the second structure by 21 meV/atom.


#P
KNaHg after structural relaxation. Source: Alexandria via LeMat-Bulk, functional PBE.

Output
- density of states at the Fermi level (states/eV/atom) = 0.398

a = 7.128 Å, b = 7.128 Å, c = 7.128 Å
α = 146.23°, β = 146.23°, γ = 48.50°
Atoms (fractional coordinates):
K1 0.000 0.000 0.000
Na1 0.718 0.718 0.000
Hg1 0.326 0.326 0.000


#Q
KNaHg after structural relaxation. Source: Alexandria via LeMat-Bulk, functional PBE.

Output
- density of states at the Fermi level (states/eV/atom) = 0.478

a = 5.441 Å, b = 5.441 Å, c = 4.547 Å
α = 90.00°, β = 90.00°, γ = 120.00°
Atoms (fractional coordinates):
K1 0.000 0.000 0.000
Na1 0.333 0.667 0.500
Hg1 0.667 0.333 0.500


The winner here is #P, beating the second structure by 22 meV/atom.